[1]
# Ac2MgZn4Ir3, optimized geometry, DFT GGA-PBE
# Mass density: 10.679 g/cm3
# Calculated volume: 205 Å³/cell
# Raw total energy: -45.6 eV per cell
# D(E_F): 3.95 states/eV per cell
data_Ac2MgZn4Ir3
_chemical_formula_sum 'Ac2 Mg1 Zn4 Ir3'
_cell_length_a 4.192
_cell_length_b 4.192
_cell_length_c 11.650
_cell_angle_alpha 90.00
_cell_angle_beta 90.00
_cell_angle_gamma 90.00
_space_group_name_H-M_alt 'P -4 m 2'
_space_group_IT_number 115
loop_
_space_group_symop_operation_xyz
'x,y,z'
'y,-x,-z'
'-x,-y,z'
'-y,x,-z'
'-x,y,z'
'-y,-x,-z'
'x,-y,z'
'y,x,-z'
loop_
_atom_site_label
_atom_site_type_symbol
_atom_site_fract_x
_atom_site_fract_y
_atom_site_fract_z
Ac1 Ac 0.000 0.500 0.233
Mg1 Mg 0.000 0.000 0.500
Zn1 Zn 0.000 0.000 0.000
Zn2 Zn 0.000 0.500 0.638
Zn3 Zn 0.500 0.500 0.000
Ir1 Ir 0.000 0.500 0.862
Ir2 Ir 0.500 0.500 0.500

[2]
# AcMgZrIr2, optimized geometry, DFT GGA-PBE
# Mass density: 10.723 g/cm3
# Calculated volume: 225 Å³/cell
# Raw total energy: -70.6 eV per cell
# D(E_F): 5.57 states/eV per cell
data_AcMgZrIr2
_chemical_formula_sum 'Ac2 Mg2 Zr2 Ir4'
_cell_length_a 4.346
_cell_length_b 4.346
_cell_length_c 11.922
_cell_angle_alpha 90.00
_cell_angle_beta 90.00
_cell_angle_gamma 90.00
_space_group_name_H-M_alt 'I -4 m 2'
_space_group_IT_number 119
_space_group_name_Hall 'I -4 -2'
loop_
_atom_site_label
_atom_site_type_symbol
_atom_site_fract_x
_atom_site_fract_y
_atom_site_fract_z
Ac1 Ac 0.000 0.000 0.000
Mg1 Mg 0.000 0.500 0.750
Zr1 Zr 0.000 0.500 0.250
Ir1 Ir 0.000 0.000 0.389

Question: Which formula does entry 2 have?
Answer: AcMgZrIr2

Question: The highest raw total energy belongs to which entry?
Answer: Ac2MgZn4Ir3

Question: Which of these has the highest raw total energy?
Answer: Ac2MgZn4Ir3

Question: What is the formula in the first record?
Answer: Ac2MgZn4Ir3